DFT (PBE-GGA) results for a relaxed structure of InBi3Pb7.

Calculated values
ΔE_f   0.05 eV/atom
E   -39.8 eV per cell
Crystal system   trigonal
Space-group type   P3m1
V   362.0 Å³ per cell

a = 7.011 Å, b = 7.011 Å, c = 8.503 Å
α = 90.00°, β = 90.00°, γ = 120.00°
Element x y z (fractional)
In (0.000, 0.000, 0.000)
Bi (0.167, 0.334, 0.668)
Bi (0.167, 0.833, 0.668)
Bi (0.666, 0.833, 0.668)
Pb (0.332, 0.166, 0.341)
Pb (0.333, 0.667, 0.320)
Pb (0.502, 0.003, 0.987)
Pb (0.502, 0.498, 0.987)
Pb (0.834, 0.166, 0.341)
Pb (0.834, 0.668, 0.341)
Pb (0.997, 0.498, 0.987)

=====

DFT (PBE-GGA) results for a relaxed structure of In8Bi4Pb3.

Calculated values
ΔE_f   0.11 eV/atom
E   -93.9 eV per cell
Crystal system   cubic
Space-group type   Fm-3m
V   935.2 Å³ per cell

a = 10.977 Å, b = 10.977 Å, c = 10.977 Å
α = 60.00°, β = 60.00°, γ = 60.00°
Element x y z (fractional)
In (0.002, 0.666, 0.666)
In (0.119, 0.119, 0.119)
In (0.119, 0.119, 0.643)
In (0.119, 0.643, 0.119)
In (0.334, 0.334, 0.334)
In (0.334, 0.334, 0.998)
In (0.334, 0.998, 0.334)
In (0.357, 0.881, 0.881)
In (0.643, 0.119, 0.119)
In (0.666, 0.002, 0.666)
In (0.666, 0.666, 0.002)
In (0.666, 0.666, 0.666)
In (0.881, 0.357, 0.881)
In (0.881, 0.881, 0.357)
In (0.881, 0.881, 0.881)
In (0.998, 0.334, 0.334)
Bi (0.000, 0.000, 0.000)
Bi (0.000, 0.000, 0.500)
Bi (0.000, 0.500, 0.000)
Bi (0.000, 0.500, 0.500)
Bi (0.500, 0.000, 0.000)
Bi (0.500, 0.000, 0.500)
Bi (0.500, 0.500, 0.000)
Bi (0.500, 0.500, 0.500)
Pb (0.288, 0.288, 0.712)
Pb (0.288, 0.712, 0.288)
Pb (0.288, 0.712, 0.712)
Pb (0.712, 0.288, 0.288)
Pb (0.712, 0.288, 0.712)
Pb (0.712, 0.712, 0.288)